# 1
A relaxed LaBi2PH crystal, computed with PBE-GGA.

As for the total energy: -4.43 eV per atom. The total magnetization is 0.26 μB per cell.

abc: 5.9834 3.4574 5.9834
angles: 90.00 90.00 90.00
Fractional coordinates of all 5 atoms:
P  0.0000  0.0000  0.0000
Bi  0.0000  0.0000  0.5000
Bi  0.5000  0.0000  0.0000
H  0.0000  0.5000  0.0000
La  0.5000  0.5000  0.5000

=====

# 2
A relaxed LaBi2HPb crystal, computed with PBE-GGA.

As for the total energy: -4.22 eV per atom. The total magnetization is 0.00 μB per cell.

abc: 5.2979 5.2979 4.6085
angles: 90.00 90.00 90.00
Fractional coordinates of all 5 atoms:
Pb  0.5000  0.5000  0.5000
H  0.0000  0.0000  0.0000
Bi  0.0000  0.5000  0.0000
Bi  0.5000  0.0000  0.0000
La  0.0000  0.0000  0.5000